1.
Computed, not measured: a relaxed structure of CsRb2Te2H2 at the PBE-GGA level of DFT. Values from VASP.

```
&SYSTEM
  ibrav = 0, nat = 7, ntyp = 4
/
ATOMIC_SPECIES
Cs 132.91 Cs.upf
Rb 85.47 Rb.upf
Te 127.60 Te.upf
H 1.01 H.upf
ATOMIC_POSITIONS crystal
Cs 0.000 0.000 0.000
Rb 0.329 0.329 0.655
Rb 0.671 0.671 0.345
Te 0.170 0.170 0.331
Te 0.830 0.830 0.669
H 0.301 0.301 0.211
H 0.699 0.699 0.789
CELL_PARAMETERS angstrom
3.800 -3.735 0.000
3.800 3.735 0.000
-0.709 0.000 11.280
```

Calculated values
- total magnetization (μB/f.u.) = 0.24
- calculated total energy (eV per atom) = -2.684
- space group = No. 12

---

2.
Computed, not measured: a relaxed structure of Cs3RbTl2H6 at the PBE-GGA level of DFT. Values from VASP.

```
&SYSTEM
  ibrav = 0, nat = 12, ntyp = 4
/
ATOMIC_SPECIES
Cs 132.91 Cs.upf
Rb 85.47 Rb.upf
Tl 204.38 Tl.upf
H 1.01 H.upf
ATOMIC_POSITIONS crystal
Cs 0.000 0.000 0.000
Cs 0.333 0.667 0.666
Cs 0.667 0.333 0.334
Rb 0.000 0.000 0.500
Tl 0.333 0.667 0.151
Tl 0.667 0.333 0.849
H 0.191 0.382 0.299
H 0.191 0.809 0.299
H 0.382 0.191 0.701
H 0.618 0.809 0.299
H 0.809 0.191 0.701
H 0.809 0.618 0.701
CELL_PARAMETERS angstrom
6.645 0.000 0.000
-3.323 5.755 0.000
0.000 0.000 8.289
```

Calculated values
- total magnetization (μB/f.u.) = 0.00
- calculated total energy (eV per atom) = -2.484
- space group = No. 164

---

3.
Computed, not measured: a relaxed structure of Cs2RbTlH at the PBE-GGA level of DFT. Values from VASP.

```
&SYSTEM
  ibrav = 0, nat = 5, ntyp = 4
/
ATOMIC_SPECIES
Cs 132.91 Cs.upf
Rb 85.47 Rb.upf
Tl 204.38 Tl.upf
H 1.01 H.upf
ATOMIC_POSITIONS crystal
Cs 0.000 0.500 0.000
Cs 0.500 0.000 0.000
Rb 0.000 0.000 0.500
Tl 0.500 0.500 0.500
H 0.500 0.500 0.000
CELL_PARAMETERS angstrom
6.351 0.000 0.000
0.000 6.351 0.000
0.000 0.000 6.007
```

Calculated values
- total magnetization (μB/f.u.) = 0.60
- polymorph energy (0 for the lowest one) (eV per formula unit) = 0.483
- calculated total energy (eV per atom) = -1.593
- space group = No. 123

---

4.
Computed, not measured: a relaxed structure of Cs2RbTlH at the PBE-GGA level of DFT. Values from VASP.

```
&SYSTEM
  ibrav = 0, nat = 5, ntyp = 4
/
ATOMIC_SPECIES
Cs 132.91 Cs.upf
Rb 85.47 Rb.upf
Tl 204.38 Tl.upf
H 1.01 H.upf
ATOMIC_POSITIONS crystal
Cs 0.000 0.500 0.000
Cs 0.500 0.000 0.000
Rb 0.000 0.000 0.500
Tl 0.500 0.500 0.500
H 0.000 0.000 0.000
CELL_PARAMETERS angstrom
6.237 0.000 0.000
0.000 6.237 0.000
0.000 0.000 5.977
```

Calculated values
- total magnetization (μB/f.u.) = 0.00
- polymorph energy (0 for the lowest one) (eV per formula unit) = 0.000
- calculated total energy (eV per atom) = -1.689
- space group = No. 123

---

5.
Computed, not measured: a relaxed structure of Cs4Rb3ZnH8 at the PBE-GGA level of DFT. Values from VASP.

```
&SYSTEM
  ibrav = 0, nat = 16, ntyp = 4
/
ATOMIC_SPECIES
Cs 132.91 Cs.upf
Rb 85.47 Rb.upf
Zn 65.41 Zn.upf
H 1.01 H.upf
ATOMIC_POSITIONS crystal
Cs 0.000 0.000 0.000
Cs 0.000 0.500 0.500
Cs 0.500 0.000 0.500
Cs 0.500 0.500 0.000
Rb 0.000 0.000 0.500
Rb 0.000 0.500 0.000
Rb 0.500 0.000 0.000
Zn 0.500 0.500 0.500
H 0.236 0.236 0.222
H 0.243 0.243 0.757
H 0.343 0.657 0.344
H 0.343 0.657 0.656
H 0.657 0.343 0.344
H 0.657 0.343 0.656
H 0.757 0.757 0.243
H 0.764 0.764 0.778
CELL_PARAMETERS angstrom
7.516 -4.185 0.000
7.516 4.185 0.000
-4.699 0.000 6.982
```

Calculated values
- total magnetization (μB/f.u.) = 0.00
- calculated total energy (eV per atom) = -2.167
- space group = No. 12

---

6.
Computed, not measured: a relaxed structure of CsRb2Zn2H6 at the PBE-GGA level of DFT. Values from VASP.

```
&SYSTEM
  ibrav = 0, nat = 11, ntyp = 4
/
ATOMIC_SPECIES
Cs 132.91 Cs.upf
Rb 85.47 Rb.upf
Zn 65.41 Zn.upf
H 1.01 H.upf
ATOMIC_POSITIONS crystal
Cs 0.000 0.000 0.000
Rb 0.202 0.202 0.202
Rb 0.798 0.798 0.798
Zn 0.442 0.442 0.442
Zn 0.558 0.558 0.558
H 0.255 0.723 0.723
H 0.277 0.277 0.745
H 0.277 0.745 0.277
H 0.723 0.255 0.723
H 0.723 0.723 0.255
H 0.745 0.277 0.277
CELL_PARAMETERS angstrom
2.990 1.726 8.080
-2.990 1.726 8.080
0.000 -3.452 8.080
```

Calculated values
- total magnetization (μB/f.u.) = 0.83
- calculated total energy (eV per atom) = -2.442
- space group = No. 166

---

7.
Computed, not measured: a relaxed structure of CsRbZnH2 at the PBE-GGA level of DFT. Values from VASP.

```
&SYSTEM
  ibrav = 0, nat = 5, ntyp = 4
/
ATOMIC_SPECIES
Cs 132.91 Cs.upf
Rb 85.47 Rb.upf
Zn 65.41 Zn.upf
H 1.01 H.upf
ATOMIC_POSITIONS crystal
Cs 0.000 0.000 0.000
Rb 0.776 0.500 0.534
Zn 0.485 0.500 0.971
H 0.395 0.290 0.783
H 0.395 0.710 0.783
CELL_PARAMETERS angstrom
4.146 0.000 0.000
0.000 6.307 0.000
-1.984 0.000 6.378
```

Calculated values
- total magnetization (μB/f.u.) = 0.00
- polymorph energy (0 for the lowest one) (eV per formula unit) = 0.035
- calculated total energy (eV per atom) = -1.973
- space group = No. 6

---

8.
Computed, not measured: a relaxed structure of CsRbZnH2 at the PBE-GGA level of DFT. Values from VASP.

```
&SYSTEM
  ibrav = 0, nat = 5, ntyp = 4
/
ATOMIC_SPECIES
Cs 132.91 Cs.upf
Rb 85.47 Rb.upf
Zn 65.41 Zn.upf
H 1.01 H.upf
ATOMIC_POSITIONS crystal
Cs 0.000 0.000 0.000
Rb 0.517 0.517 0.534
Zn 0.742 0.742 0.273
H 0.551 0.551 0.167
H 0.716 0.716 0.999
CELL_PARAMETERS angstrom
5.287 -2.791 0.000
5.287 2.791 0.000
-3.524 0.000 5.935
```

Calculated values
- total magnetization (μB/f.u.) = 0.00
- polymorph energy (0 for the lowest one) (eV per formula unit) = 0.139
- calculated total energy (eV per atom) = -1.952
- space group = No. 8

---

9.
Computed, not measured: a relaxed structure of CsRbZnH2 at the PBE-GGA level of DFT. Values from VASP.

```
&SYSTEM
  ibrav = 0, nat = 5, ntyp = 4
/
ATOMIC_SPECIES
Cs 132.91 Cs.upf
Rb 85.47 Rb.upf
Zn 65.41 Zn.upf
H 1.01 H.upf
ATOMIC_POSITIONS crystal
Cs 0.000 0.000 0.000
Rb 0.592 0.590 0.461
Zn 0.173 0.170 0.426
H 0.081 0.451 0.256
H 0.452 0.078 0.256
CELL_PARAMETERS angstrom
5.103 0.000 0.000
0.491 5.098 0.000
0.606 0.581 6.729
```

Calculated values
- total magnetization (μB/f.u.) = 0.00
- polymorph energy (0 for the lowest one) (eV per formula unit) = 0.217
- calculated total energy (eV per atom) = -1.936
- space group = No. 1

---

10.
Computed, not measured: a relaxed structure of CsRbZnH2 at the PBE-GGA level of DFT. Values from VASP.

```
&SYSTEM
  ibrav = 0, nat = 5, ntyp = 4
/
ATOMIC_SPECIES
Cs 132.91 Cs.upf
Rb 85.47 Rb.upf
Zn 65.41 Zn.upf
H 1.01 H.upf
ATOMIC_POSITIONS crystal
Cs 0.000 0.000 0.000
Rb 0.508 0.508 0.477
Zn 0.253 0.253 0.713
H 0.060 0.472 0.537
H 0.472 0.060 0.537
CELL_PARAMETERS angstrom
5.048 -3.148 0.000
5.048 3.148 0.000
-3.809 0.000 5.200
```

Calculated values
- total magnetization (μB/f.u.) = 0.00
- polymorph energy (0 for the lowest one) (eV per formula unit) = 0.087
- calculated total energy (eV per atom) = -1.962
- space group = No. 8

---

11.
Computed, not measured: a relaxed structure of Cs2Rb2ZnH4 at the PBE-GGA level of DFT. Values from VASP.

```
&SYSTEM
  ibrav = 0, nat = 9, ntyp = 4
/
ATOMIC_SPECIES
Cs 132.91 Cs.upf
Rb 85.47 Rb.upf
Zn 65.41 Zn.upf
H 1.01 H.upf
ATOMIC_POSITIONS crystal
Cs 0.250 0.750 0.500
Cs 0.750 0.250 0.500
Rb 0.168 0.168 0.000
Rb 0.832 0.832 0.000
Zn 0.500 0.500 0.000
H 0.222 0.222 0.444
H 0.222 0.778 0.000
H 0.778 0.222 0.000
H 0.778 0.778 0.556
CELL_PARAMETERS angstrom
-3.876 3.876 4.594
3.876 -3.876 4.594
3.876 3.876 -4.594
```

Calculated values
- total magnetization (μB/f.u.) = 0.00
- calculated total energy (eV per atom) = -1.871
- space group = No. 139

---

12.
Computed, not measured: a relaxed structure of CsRbZnH2 at the PBE-GGA level of DFT. Values from VASP.

```
&SYSTEM
  ibrav = 0, nat = 5, ntyp = 4
/
ATOMIC_SPECIES
Cs 132.91 Cs.upf
Rb 85.47 Rb.upf
Zn 65.41 Zn.upf
H 1.01 H.upf
ATOMIC_POSITIONS crystal
Cs 0.000 0.000 0.000
Rb 0.737 0.737 0.995
Zn 0.279 0.279 0.496
H 0.121 0.599 0.497
H 0.599 0.121 0.497
CELL_PARAMETERS angstrom
6.819 -2.848 0.000
6.819 2.848 0.000
-0.019 0.000 3.995
```

Calculated values
- total magnetization (μB/f.u.) = 0.00
- polymorph energy (0 for the lowest one) (eV per formula unit) = 0.312
- calculated total energy (eV per atom) = -1.917
- space group = No. 8